# 1
Entry from the Alexandria database: crystalline TiCuSi2 at its relaxed geometry (GGA-PBE).

abc: 4.3137 4.3137 4.3137
angles: 60.00 60.00 60.00
Last column: nearest neighbours and their distance in Å.
Positions (direct):
Cu  0.5000  0.5000  0.5000  8 Si 2.64
Si  0.2500  0.2500  0.2500  4 Cu 2.64, 4 Ti 2.64
Si  0.7500  0.7500  0.7500  4 Ti 2.64, 4 Cu 2.64
Ti  0.0000  0.0000  0.0000  8 Si 2.64

Values from the calculation:
density: 4.9 g cm⁻³
total moment: 0.67 μB per formula unit
space group: No. 225



# 2
Entry from the Alexandria database: crystalline TiCuSi2 at its relaxed geometry (GGA-PBE).

abc: 3.6093 3.8647 3.8647
angles: 90.00 90.00 90.00
Last column: nearest neighbours and their distance in Å.
Positions (direct):
Ti  0.5000  0.5000  0.5000  8 Si 2.64, 4 Cu 2.73
Cu  0.5000  0.0000  0.0000  8 Si 2.64, 4 Ti 2.73
Si  0.0000  0.5000  0.0000  4 Cu 2.64, 4 Ti 2.64, 4 Si 2.73
Si  0.0000  0.0000  0.5000  4 Cu 2.64, 4 Ti 2.64, 4 Si 2.73

Values from the calculation:
density: 5.2 g cm⁻³
total moment: 0.00 μB per formula unit
space group: No. 123



# 3
Entry from the Alexandria database: crystalline TiCuSi2W at its relaxed geometry (GGA-PBE).

abc: 4.2622 4.7070 4.2622
angles: 90.00 90.00 90.00
Last column: nearest neighbours and their distance in Å.
Positions (direct):
Si  0.5000  0.0000  0.0000  2 Cu 2.13
Si  0.0000  0.0000  0.5000  2 Cu 2.13
Ti  0.5000  0.5000  0.5000  4 W 3.01, 8 Si 3.17
W  0.0000  0.5000  0.0000  2 Cu 2.35
Cu  0.0000  0.0000  0.0000  4 Si 2.13, 2 W 2.35

Values from the calculation:
density: 6.8 g cm⁻³
total moment: 0.00 μB per formula unit
space group: No. 123



# 4
Entry from the Alexandria database: crystalline YTi2CuSi at its relaxed geometry (GGA-PBE).

abc: 4.7819 4.3789 4.7819
angles: 90.00 90.00 90.00
Last column: nearest neighbours and their distance in Å.
Positions (direct):
Ti  0.5000  0.0000  0.0000  2 Cu 2.39
Ti  0.0000  0.0000  0.5000  2 Cu 2.39
Y  0.5000  0.5000  0.5000  8 Ti 3.24, 4 Si 3.38
Si  0.0000  0.5000  0.0000  2 Cu 2.19
Cu  0.0000  0.0000  0.0000  2 Si 2.19, 4 Ti 2.39

Values from the calculation:
density: 4.6 g cm⁻³
total moment: 3.29 μB per formula unit
space group: No. 123



# 5
Entry from the Alexandria database: crystalline Zr2TiCuSi at its relaxed geometry (GGA-PBE).

abc: 4.8392 4.8392 4.5431
angles: 90.00 90.00 90.00
Last column: nearest neighbours and their distance in Å.
Positions (direct):
Si  0.5000  0.5000  0.5000  8 Zr 3.32, 4 Ti 3.42
Cu  0.0000  0.0000  0.0000  2 Ti 2.27, 4 Zr 2.42
Zr  0.5000  0.0000  0.0000  2 Cu 2.42
Zr  0.0000  0.5000  0.0000  2 Cu 2.42
Ti  0.0000  0.0000  0.5000  2 Cu 2.27

Values from the calculation:
density: 5.0 g cm⁻³
total moment: 0.02 μB per formula unit
space group: No. 123



# 6
Entry from the Alexandria database: crystalline TlCu2Si at its relaxed geometry (GGA-PBE).

abc: 3.9193 2.9627 6.1613
angles: 90.10 90.00 90.00
Last column: nearest neighbours and their distance in Å.
Positions (direct):
Cu  0.5000  0.1261  0.3413  4 Si 2.46, 2 Cu 2.72
Cu  0.0000  0.1242  0.0344  2 Si 2.40
Tl  0.5000  0.6239  0.7828  6 Cu 2.90-3.10, 2 Tl 2.96
Si  0.0000  0.6257  0.3415  6 Cu 2.40-2.46

Values from the calculation:
density: 8.3 g cm⁻³
total moment: 0.00 μB per formula unit
space group: No. 6
E above lowest polymorph: 2 meV per atom



# 7
Entry from the Alexandria database: crystalline TlCuSi at its relaxed geometry (GGA-PBE).

abc: 7.1053 3.9537 7.9948
angles: 90.00 90.00 90.00
Last column: nearest neighbours and their distance in Å.
Positions (direct):
Tl  0.9698  0.2500  0.3398  5 Cu 2.91-2.99, 3 Si 3.19-3.20
Tl  0.0302  0.7500  0.6602  5 Cu 2.91-2.99, 3 Si 3.19-3.20
Tl  0.5302  0.7500  0.8398  5 Cu 2.91-2.99, 3 Si 3.19-3.20
Tl  0.4698  0.2500  0.1602  5 Cu 2.91-2.99, 3 Si 3.19-3.20
Cu  0.7169  0.2500  0.6301  3 Si 2.44-2.56
Cu  0.2831  0.7500  0.3699  3 Si 2.44-2.56
Cu  0.7831  0.7500  0.1301  3 Si 2.44-2.56
Cu  0.2169  0.2500  0.8699  3 Si 2.44-2.56
Si  0.6156  0.7500  0.4477  3 Cu 2.44-2.56, 2 Si 2.70
Si  0.1156  0.7500  0.0523  3 Cu 2.44-2.56, 2 Si 2.70
Si  0.3844  0.2500  0.5523  3 Cu 2.44-2.56, 2 Si 2.70
Si  0.8844  0.2500  0.9477  3 Cu 2.44-2.56, 2 Si 2.70

Values from the calculation:
density: 8.8 g cm⁻³
total moment: 0.00 μB per formula unit
space group: No. 62



# 8
Entry from the Alexandria database: crystalline TlCuSi at its relaxed geometry (GGA-PBE).

abc: 4.4867 4.4867 10.3857
angles: 90.00 90.00 120.00
Last column: nearest neighbours and their distance in Å.
Positions (direct):
Cu  0.3333  0.6667  0.2500  3 Tl 2.59
Cu  0.6667  0.3333  0.7500  3 Tl 2.59
Tl  0.0000  0.0000  0.7500  3 Cu 2.59, 2 Si 2.60
Tl  0.0000  0.0000  0.2500  3 Cu 2.59, 2 Si 2.60
Si  0.0000  0.0000  0.0000  2 Tl 2.60
Si  0.0000  0.0000  0.5000  2 Tl 2.60

Values from the calculation:
density: 5.4 g cm⁻³
total moment: 0.00 μB per formula unit
space group: No. 194



# 9
Entry from the Alexandria database: crystalline TlCu2Si at its relaxed geometry (GGA-PBE).

abc: 6.7619 6.7619 6.7619
angles: 155.13 146.18 42.44
Last column: nearest neighbours and their distance in Å.
Positions (direct):
Cu  0.0209  0.0209  0.0000  4 Si 2.45, 2 Cu 2.72
Cu  0.6694  0.1694  0.5000  2 Si 2.42
Si  0.5164  0.5164  0.0000  6 Cu 2.42-2.45
Tl  0.2934  0.7934  0.5000  4 Cu 2.90, 2 Tl 2.91, 2 Si 3.17

Values from the calculation:
density: 8.3 g cm⁻³
total moment: 0.00 μB per formula unit
space group: No. 44
E above lowest polymorph: 8 meV per atom



# 10
Entry from the Alexandria database: crystalline TlCu2Si at its relaxed geometry (GGA-PBE).

abc: 5.0452 5.0452 5.0452
angles: 133.81 133.81 67.38
Last column: nearest neighbours and their distance in Å.
Positions (direct):
Cu  0.2500  0.7500  0.5000  4 Tl 2.80, 4 Cu 2.88, 4 Si 2.88
Cu  0.0000  0.0000  0.0000  4 Si 2.80, 4 Tl 2.88, 4 Cu 2.88
Tl  0.7500  0.2500  0.5000  8 Cu 2.80-2.88, 4 Si 2.88
Si  0.5000  0.5000  0.0000  8 Cu 2.80-2.88, 4 Tl 2.88

Values from the calculation:
density: 9.1 g cm⁻³
total moment: 0.00 μB per formula unit
space group: No. 119
E above lowest polymorph: 197 meV per atom



# 11
Entry from the Alexandria database: crystalline TlCu2Si at its relaxed geometry (GGA-PBE).

abc: 5.3603 5.3603 5.3603
angles: 148.57 116.29 72.78
Last column: nearest neighbours and their distance in Å.
Positions (direct):
Tl  0.2500  0.7500  0.5000  4 Cu 2.84, 2 Tl 2.90
Si  0.7500  0.2500  0.5000  4 Cu 2.37
Cu  0.5323  0.5323  0.0000  2 Si 2.37
Cu  0.9677  0.9677  0.0000  2 Si 2.37

Values from the calculation:
density: 8.4 g cm⁻³
total moment: 0.00 μB per formula unit
space group: No. 71
E above lowest polymorph: 159 meV per atom



# 12
Entry from the Alexandria database: crystalline TlCu2Si at its relaxed geometry (GGA-PBE).

abc: 4.5872 4.5872 4.5872
angles: 60.00 60.00 60.00
Last column: nearest neighbours and their distance in Å.
Positions (direct):
Cu  0.2500  0.2500  0.2500  4 Cu 2.81, 4 Si 2.81
Cu  0.0000  0.0000  0.0000  4 Tl 2.81, 4 Cu 2.81
Tl  0.7500  0.7500  0.7500  4 Si 2.81, 4 Cu 2.81
Si  0.5000  0.5000  0.5000  4 Cu 2.81, 4 Tl 2.81

Values from the calculation:
density: 8.7 g cm⁻³
total moment: 0.00 μB per formula unit
space group: No. 216
E above lowest polymorph: 322 meV per atom



Calculated volume, 14.2, 13.5, 17.1, 20.0, 21.3, 17.9, 18.7, 30.2, 18.1, 16.4, 17.7, 17.1 Å³/atom (same order as the records).
Calculated raw formation energy, 1.5, -7.1, 24.1, 6.6, 10.3, 5.6, 6.1, 29.8, 5.7, 10.1, 9.2, 13.0 kcal/mol of atoms (same order as the records).